# 1
# Rb3InBi | the Alexandria database | GGA-PBE | optimized geometry
data_Rb3InBi
_chemical_formula_sum 'Rb3 In1 Bi1'
_cell_length_a 7.160
_cell_length_b 7.160
_cell_length_c 7.160
_cell_angle_alpha 90.00
_cell_angle_beta 90.00
_cell_angle_gamma 90.00
_space_group_name_H-M_alt 'P 1'
_space_group_IT_number 1
loop_
_space_group_symop_operation_xyz
'x,y,z'
loop_
_atom_site_label
_atom_site_fract_x
_atom_site_fract_y
_atom_site_fract_z
_atom_site_occupancy
Rb1 0.000 0.500 0.000 1
In1 0.500 0.500 0.500 1
Rb2 0.000 0.000 0.500 1
Rb3 0.500 0.000 0.000 1
Bi1 0.000 0.000 0.000 1
# crystal system	cubic
# excess energy over the best structure of this formula in the dataset	0.278	eV/atom

---

# 2
# RbInBi2 | the Alexandria database | GGA-PBE | optimized geometry
data_RbInBi2
_chemical_formula_sum 'Rb1 In1 Bi2'
_cell_length_a 4.120
_cell_length_b 4.120
_cell_length_c 10.369
_cell_angle_alpha 78.54
_cell_angle_beta 78.54
_cell_angle_gamma 60.00
_space_group_name_H-M_alt 'P 1'
_space_group_IT_number 1
loop_
_space_group_symop_operation_xyz
'x,y,z'
loop_
_atom_site_label
_atom_site_fract_x
_atom_site_fract_y
_atom_site_fract_z
_atom_site_occupancy
Bi1 0.267 0.267 0.198 1
In1 0.000 0.000 0.000 1
Bi2 0.733 0.733 0.802 1
Rb1 0.500 0.500 0.500 1
# crystal system	trigonal

---

# 3
# Rb3InBi | the Alexandria database | GGA-PBE | optimized geometry
data_Rb3InBi
_chemical_formula_sum 'Rb6 In2 Bi2'
_cell_length_a 9.086
_cell_length_b 9.086
_cell_length_c 9.086
_cell_angle_alpha 93.17
_cell_angle_beta 123.98
_cell_angle_gamma 112.70
_space_group_name_H-M_alt 'P 1'
_space_group_IT_number 1
loop_
_space_group_symop_operation_xyz
'x,y,z'
loop_
_atom_site_label
_atom_site_fract_x
_atom_site_fract_y
_atom_site_fract_z
_atom_site_occupancy
In1 0.284 0.598 0.187 1
Rb1 0.478 0.681 0.730 1
Rb2 0.478 0.249 0.297 1
Rb3 0.991 0.738 0.754 1
Rb4 0.984 0.238 0.246 1
In2 0.411 0.098 0.813 1
Rb5 0.951 0.749 0.270 1
Bi1 0.539 0.893 0.146 1
Rb6 0.951 0.181 0.703 1
Bi2 0.748 0.393 0.854 1
# crystal system	orthorhombic
# excess energy over the best structure of this formula in the dataset	0.000	eV/atom

---

# 4
# RbIn6Bi2 | the Alexandria database | GGA-PBE | optimized geometry
data_RbIn6Bi2
_chemical_formula_sum 'Rb1 In6 Bi2'
_cell_length_a 5.215
_cell_length_b 5.215
_cell_length_c 11.039
_cell_angle_alpha 90.00
_cell_angle_beta 90.00
_cell_angle_gamma 90.00
_space_group_name_H-M_alt 'P 1'
_space_group_IT_number 1
loop_
_space_group_symop_operation_xyz
'x,y,z'
loop_
_atom_site_label
_atom_site_fract_x
_atom_site_fract_y
_atom_site_fract_z
_atom_site_occupancy
Bi1 0.500 0.500 0.146 1
In1 0.000 0.500 0.318 1
In2 0.500 0.000 0.318 1
In3 0.500 0.500 0.500 1
In4 0.000 0.000 0.500 1
In5 0.500 0.000 0.682 1
In6 0.000 0.500 0.682 1
Bi2 0.500 0.500 0.854 1
Rb1 0.000 0.000 0.000 1
# crystal system	tetragonal

---

# 5
# RbInBi3 | the Alexandria database | GGA-PBE | optimized geometry
data_RbInBi3
_chemical_formula_sum 'Rb1 In1 Bi3'
_cell_length_a 5.928
_cell_length_b 5.928
_cell_length_c 5.928
_cell_angle_alpha 90.00
_cell_angle_beta 90.00
_cell_angle_gamma 90.00
_space_group_name_H-M_alt 'P 1'
_space_group_IT_number 1
loop_
_space_group_symop_operation_xyz
'x,y,z'
loop_
_atom_site_label
_atom_site_fract_x
_atom_site_fract_y
_atom_site_fract_z
_atom_site_occupancy
In1 0.000 0.000 0.000 1
Bi1 0.500 0.000 0.000 1
Bi2 0.000 0.500 0.000 1
Rb1 0.500 0.500 0.500 1
Bi3 0.000 0.000 0.500 1
# crystal system	cubic
# excess energy over the best structure of this formula in the dataset	0.351	eV/atom

---

# 6
# RbIn6Bi4 | the Alexandria database | GGA-PBE | optimized geometry
data_RbIn6Bi4
_chemical_formula_sum 'Rb1 In6 Bi4'
_cell_length_a 5.012
_cell_length_b 5.012
_cell_length_c 16.139
_cell_angle_alpha 98.93
_cell_angle_beta 98.93
_cell_angle_gamma 90.00
_space_group_name_H-M_alt 'P 1'
_space_group_IT_number 1
loop_
_space_group_symop_operation_xyz
'x,y,z'
loop_
_atom_site_label
_atom_site_fract_x
_atom_site_fract_y
_atom_site_fract_z
_atom_site_occupancy
Bi1 0.444 0.444 0.889 1
Bi2 0.556 0.556 0.111 1
In1 0.117 0.617 0.233 1
Rb1 0.000 0.000 0.000 1
In2 0.617 0.117 0.233 1
In3 0.383 0.883 0.767 1
Bi3 0.180 0.180 0.359 1
Bi4 0.820 0.820 0.641 1
In4 0.250 0.750 0.500 1
In5 0.883 0.383 0.767 1
In6 0.750 0.250 0.500 1
# crystal system	tetragonal
# excess energy over the best structure of this formula in the dataset	0.000	eV/atom

---

# 7
# Rb4InBi3 | the Alexandria database | GGA-PBE | optimized geometry
data_Rb4InBi3
_chemical_formula_sum 'Rb8 In2 Bi6'
_cell_length_a 6.540
_cell_length_b 10.790
_cell_length_c 10.790
_cell_angle_alpha 84.73
_cell_angle_beta 72.36
_cell_angle_gamma 72.36
_space_group_name_H-M_alt 'P 1'
_space_group_IT_number 1
loop_
_space_group_symop_operation_xyz
'x,y,z'
loop_
_atom_site_label
_atom_site_fract_x
_atom_site_fract_y
_atom_site_fract_z
_atom_site_occupancy
Rb1 0.728 0.858 0.687 1
Bi1 0.750 0.000 0.000 1
Bi2 0.373 0.754 0.500 1
Rb2 0.272 0.142 0.313 1
In1 0.250 0.500 0.500 1
Rb3 0.914 0.858 0.313 1
Rb4 0.772 0.313 0.142 1
Rb5 0.414 0.313 0.858 1
Bi3 0.250 0.000 0.000 1
Rb6 0.086 0.142 0.687 1
Bi4 0.873 0.500 0.754 1
In2 0.750 0.500 0.500 1
Rb7 0.228 0.687 0.858 1
Bi5 0.627 0.246 0.500 1
Rb8 0.586 0.687 0.142 1
Bi6 0.127 0.500 0.246 1
# crystal system	tetragonal

---

# 8
# RbIn2Bi3 | the Alexandria database | GGA-PBE | optimized geometry
data_RbIn2Bi3
_chemical_formula_sum 'Rb2 In4 Bi6'
_cell_length_a 7.580
_cell_length_b 8.366
_cell_length_c 8.366
_cell_angle_alpha 117.44
_cell_angle_beta 90.00
_cell_angle_gamma 90.00
_space_group_name_H-M_alt 'P 1'
_space_group_IT_number 1
loop_
_space_group_symop_operation_xyz
'x,y,z'
loop_
_atom_site_label
_atom_site_fract_x
_atom_site_fract_y
_atom_site_fract_z
_atom_site_occupancy
Bi1 0.750 0.821 0.529 1
Bi2 0.250 0.129 0.871 1
Rb1 0.250 0.654 0.346 1
In1 0.500 0.810 0.810 1
Bi3 0.250 0.179 0.471 1
Bi4 0.750 0.471 0.179 1
Rb2 0.750 0.346 0.654 1
Bi5 0.750 0.871 0.129 1
Bi6 0.250 0.529 0.821 1
In2 0.000 0.190 0.190 1
In3 0.000 0.810 0.810 1
In4 0.500 0.190 0.190 1
# crystal system	orthorhombic
# excess energy over the best structure of this formula in the dataset	0.000	eV/atom

---

| no. | formation energy from the elements (meV per atom) |
| --- | --- |
| 1 | 146 |
| 2 | -23 |
| 3 | -132 |
| 4 | -67 |
| 5 | 239 |
| 6 | -49 |
| 7 | -294 |
| 8 | -113 |